Record 1
DFT (PBE-GGA) results for an optimized crystal structure of Al3InRe.

Computed properties:
energy of formation: 0.26 eV per atom
polymorph energy (0 for the lowest one): 0 meV per atom
symmetry: Pm-3m, No. 221

POSCAR file:
```
Al3InRe
1.0
-1.729 3.763 2.556
-4.539 -1.248 -1.234
-0.299 -2.822 3.953
Re In Al
1 1 3
Direct
0.000 0.000 0.000
0.500 0.500 0.500
0.500 0.000 0.000
0.000 0.000 0.500
0.000 0.500 0.000
```

=====

Record 2
DFT (PBE-GGA) results for an optimized crystal structure of KCe2Y2O7.

Computed properties:
raw formation energy: -3.09 eV/atom
symmetry: Imm2, No. 44

POSCAR file:
```
KCe2Y2O7
1.0
-2.475 2.740 -2.751
0.493 -3.014 -3.446
-7.236 -4.450 5.931
K O Ce Y
1 7 2 2
Direct
0.000 0.005 0.000
0.263 0.263 0.527
0.365 0.865 0.730
0.737 0.736 0.473
0.500 0.497 0.000
0.635 0.135 0.270
0.865 0.365 0.730
0.135 0.634 0.270
0.389 0.389 0.778
0.611 0.611 0.222
0.250 0.750 0.500
0.750 0.250 0.500
```

=====

How do the records compare in D(E_F)? In the order shown, they have 0.5325; 0.4670 states/eV per atom.
How do the records compare in spin magnetization? In the order shown, they have 0.000; 0.063 μB per atom.